The following is a DFT calculation (PBE) of crystalline Li2Zn2Ga at its relaxed geometry.

Cell and atoms, written as extended XYZ:
```
10
Lattice="7.060 0.000 0.000 0.000 7.060 0.000 0.000 0.000 3.101" Properties=species:S:1:pos:R:3 pbc="T T T"
Li 1.033 2.497 0.000
Li 2.497 6.027 0.000
Li 4.563 1.033 0.000
Li 6.027 4.563 0.000
Zn 1.038 4.568 1.551
Zn 2.492 1.038 1.551
Zn 4.568 6.022 1.551
Zn 6.022 2.492 1.551
Ga 0.000 0.000 0.000
Ga 3.530 3.530 0.000
```

The total energy is -1.94 eV/atom. The energy of formation is -62.3 meV/atom. The total magnetization is 0.0 Bohr magnetons per cell.

The following is a DFT calculation (PBE) of crystalline Li6Zn2Ga at its relaxed geometry.

Cell and atoms, written as extended XYZ:
```
18
Lattice="8.461 0.000 0.000 0.000 8.462 0.000 0.000 0.000 4.051" Properties=species:S:1:pos:R:3 pbc="T T T"
Li 0.151 1.497 0.000
Li 1.499 8.296 2.026
Li 1.536 2.679 2.026
Li 2.694 6.910 0.000
Li 2.732 4.065 0.000
Li 4.079 5.728 2.026
Li 4.382 2.734 2.026
Li 5.729 4.397 0.000
Li 5.767 1.552 0.000
Li 6.925 5.783 2.026
Li 6.962 0.166 2.026
Li 8.310 6.965 0.000
Zn 1.231 5.452 2.026
Zn 3.000 1.221 0.000
Zn 5.461 7.242 0.000
Zn 7.231 3.011 2.026
Ga 0.000 4.231 0.000
Ga 4.231 0.000 2.026
```

The total energy is -2.06 eV/atom. The energy of formation is -165.4 meV/atom. The total magnetization is 0.0 Bohr magnetons per cell.

The following is a DFT calculation (PBE) of crystalline Li4Zn4Ga3 at its relaxed geometry.

Cell and atoms, written as extended XYZ:
```
11
Lattice="-2.277 2.704 7.627 2.277 -2.704 7.627 2.277 2.704 -7.627" Properties=species:S:1:pos:R:3 pbc="T T T"
Li 2.277 -1.387 4.757
Li 0.000 1.317 2.870
Li 2.277 1.387 4.757
Li 0.000 4.091 2.870
Zn 0.000 1.279 0.000
Zn 0.000 0.000 5.146
Zn 0.000 0.000 10.108
Zn 0.000 4.129 0.000
Ga 2.277 0.000 1.538
Ga 0.000 0.000 7.627
Ga 0.000 2.704 6.089
```

The total energy is -2.02 eV/atom. The energy of formation is -33.5 meV/atom. The total magnetization is 0.0 Bohr magnetons per cell.

The following is a DFT calculation (PBE) of crystalline Li5ZnGa8 at its relaxed geometry.

Cell and atoms, written as extended XYZ:
```
14
Lattice="-3.694 3.694 4.426 3.694 -3.694 4.426 3.694 3.694 -4.426" Properties=species:S:1:pos:R:3 pbc="T T T"
Li 0.000 0.000 0.000
Li 2.665 2.159 -0.613
Li 1.535 -1.028 5.039
Li 1.028 1.535 3.812
Li 2.159 4.722 0.613
Zn 3.694 0.000 2.213
Ga 1.174 -0.738 2.272
Ga 2.520 4.432 -2.154
Ga 0.502 2.470 1.003
Ga 2.955 2.520 2.154
Ga -0.502 4.917 1.003
Ga -1.224 3.192 3.423
Ga 0.738 1.174 6.579
Ga 1.224 4.196 3.423
```

The total energy is -2.67 eV/atom. The energy of formation is -164.1 meV/atom. The total magnetization is 0.0 Bohr magnetons per cell.

The following is a DFT calculation (PBE) of crystalline Li2Zn5Ga at its relaxed geometry.

Cell and atoms, written as extended XYZ:
```
16
Lattice="5.637 0.000 0.000 0.000 11.321 0.000 0.000 0.000 3.777" Properties=species:S:1:pos:R:3 pbc="T T T"
Li 1.407 1.398 0.000
Li 1.412 7.058 0.000
Li 4.225 4.263 0.000
Li 4.230 9.924 0.000
Zn 0.000 0.000 1.888
Zn 0.006 8.484 1.888
Zn 1.391 9.899 0.000
Zn 1.427 4.238 0.000
Zn 2.813 2.823 1.888
Zn 2.818 5.661 1.888
Zn 2.824 8.498 1.888
Zn 4.209 7.083 0.000
Zn 4.246 1.423 0.000
Zn 5.631 2.838 1.888
Ga 0.000 5.661 1.888
Ga 2.818 0.000 1.888
```

The total energy is -1.79 eV/atom. The energy of formation is -137.7 meV/atom. The total magnetization is 0.0 Bohr magnetons per cell.

The following is a DFT calculation (PBE) of crystalline Li5ZnGa2 at its relaxed geometry.

Cell and atoms, written as extended XYZ:
```
16
Lattice="5.562 0.000 0.000 0.000 10.945 0.000 0.000 0.000 4.149" Properties=species:S:1:pos:R:3 pbc="T T T"
Li 0.000 0.000 0.000
Li 0.423 2.773 0.000
Li 1.122 9.547 2.075
Li 1.659 4.075 2.075
Li 2.358 8.246 0.000
Li 2.781 5.472 0.000
Li 3.204 2.699 0.000
Li 3.903 6.870 2.075
Li 4.440 1.397 2.075
Li 5.139 8.171 0.000
Zn 0.000 5.472 0.000
Zn 2.781 0.000 0.000
Ga 1.091 6.739 2.075
Ga 1.689 1.266 2.075
Ga 3.872 9.678 2.075
Ga 4.470 4.206 2.075
```

The total energy is -2.31 eV/atom. The energy of formation is -197.4 meV/atom. The total magnetization is 0.0 Bohr magnetons per cell.